(1)
A relaxed structure of Cd2CuCl6. Source: Alexandria, functional GGA-PBE.

Structure (POSCAR):
```
Cd2CuCl6
1.0
-5.8336 -0.5037 2.8859
2.9122 -1.6947 5.5910
0.5394 10.6661 2.9520
Cd Cu Cl
4 2 12
Direct
0.0000 0.0000 0.3340 Cd
0.5000 0.5000 0.8340 Cd
0.5000 0.5000 0.1660 Cd
0.0000 0.0000 0.6660 Cd
0.0000 0.0000 0.0000 Cu
0.5000 0.5000 0.5000 Cu
0.3240 0.3240 0.3489 Cl
0.6760 0.6760 0.3489 Cl
0.1760 0.8240 0.8489 Cl
0.8240 0.1760 0.8489 Cl
0.1760 0.8240 0.1511 Cl
0.8240 0.1760 0.1511 Cl
0.3240 0.3240 0.6511 Cl
0.6760 0.6760 0.6511 Cl
0.3083 0.3083 0.0000 Cl
0.6917 0.6917 0.0000 Cl
0.1917 0.8083 0.5000 Cl
0.8083 0.1917 0.5000 Cl
```

Output
Formation energy without anion corrections (eV per formula unit): -7.50
Space group: No. 136
ΔE to the lowest computed polymorph (eV per atom): 0.0182

***

(2)
A relaxed structure of MnCo2Os. Source: Alexandria, functional GGA-PBE.

Structure (POSCAR):
```
MnCo2Os
1.0
-1.9729 -0.3190 -1.6379
1.5078 -2.0850 0.2372
-4.7087 -2.6999 6.1974
Co Mn Os
2 1 1
Direct
0.0000 0.0000 0.0124 Co
0.5000 0.5000 0.2491 Co
0.0000 0.0000 0.4899 Mn
0.5000 0.5000 0.7486 Os
```

Output
DFT formation energy (eV/atom): 0.29
Space group: No. 35
ΔE to the lowest computed polymorph (eV per atom): 0.2265

***

(3)
A relaxed structure of Ta2CoW. Source: Alexandria, functional GGA-PBE.

Structure (POSCAR):
```
Ta2CoW
1.0
-0.7116 4.3578 -2.7240
-4.0885 -3.1888 0.1794
-1.6555 1.4083 1.7350
Co Ta W
1 2 1
Direct
0.0000 0.5000 0.5000 Co
0.0000 0.0000 0.0000 Ta
0.5000 0.5000 0.0000 Ta
0.5000 0.0000 0.5000 W
```

Output
DFT formation energy (eV/atom): 0.07
Space group: No. 12
ΔE to the lowest computed polymorph (eV per atom): 0.1568

***

(4)
A relaxed structure of TiFe2PtAu. Source: Alexandria, functional GGA-PBE.

Structure (POSCAR):
```
TiFe2PtAu
1.0
4.6997 0.0000 0.0000
0.0000 4.7003 0.0000
0.0000 0.0000 4.6997
Au Fe Pt Ti
1 2 1 1
Direct
0.5000 0.5000 0.5000 Au
0.0000 0.0000 0.5000 Fe
0.5000 0.0000 0.0000 Fe
0.0000 0.0000 0.0000 Pt
0.0000 0.5000 0.0000 Ti
```

Output
DFT formation energy (eV/atom): 0.75
Space group: No. 123